No. 1
The following is a PBE calculation of a geometry-optimized Pm3Si2Ge2 structure, from Alexandria.

Lattice parameters (Å, degrees): 4.0266 4.3812 18.0783 90.00 90.00 90.00
With the nearest neighbours (Å) after each atom.
Space group Immm (No. 71)
Asymmetric unit:
Pm 0.0000 0.0000 0.0000  8 Si 3.20, 4 Ge 3.49
Pm 0.0000 0.5000 0.3196  5 Ge 3.02-3.06, 2 Si 3.03
Si 0.0000 0.0000 0.4356  1 Si 2.33, 2 Ge 2.54
Ge 0.0000 0.5000 0.1503  2 Si 2.54


No. 2
The following is a PBE calculation of a geometry-optimized Pm2SiGe2 structure, from Alexandria.

Lattice parameters (Å, degrees): 11.0496 4.2136 10.9358 90.00 116.40 90.00
With the nearest neighbours (Å) after each atom.
Space group C2/m (No. 12)
Asymmetric unit:
Pm 0.0980 0.0000 0.4021  2 Si 2.99, 6 Ge 3.05-3.24
Pm 0.2015 0.5000 0.1439  7 Ge 3.11-3.29, 4 Si 3.21-3.38
Si 0.0604 0.5000 0.7994  3 Ge 2.46-2.48
Ge 0.0456 0.0000 0.9112  2 Si 2.48, 1 Ge 2.56
Ge 0.1326 0.5000 0.6169  1 Si 2.46


No. 3
The following is a PBE calculation of a geometry-optimized Pm8Si2Ge structure, from Alexandria.

Lattice parameters (Å, degrees): 19.1924 4.8151 7.0158 90.00 102.29 90.00
With the nearest neighbours (Å) after each atom.
Space group C2/m (No. 12)
Asymmetric unit:
Pm 0.0272 0.0000 0.2748  2 Ge 2.99, 1 Si 3.05
Pm 0.0951 0.5000 0.9736  2 Si 3.32, 1 Ge 3.43, 8 Pm 3.55-3.63
Pm 0.1631 0.5000 0.4980  3 Si 3.05-3.09, 1 Ge 3.13, 2 Pm 3.38
Pm 0.2158 0.0000 0.8355  3 Si 3.09-3.22, 4 Pm 3.38-3.40
Si 0.1837 0.0000 0.2495  9 Pm 3.05-3.32
Ge 0.0000 0.5000 0.5000  6 Pm 2.99-3.13


No. 4
The following is a PBE calculation of a geometry-optimized Pm7Si2Ge2 structure, from Alexandria.

Lattice parameters (Å, degrees): 7.8480 10.9738 7.2556 90.00 90.00 90.00
With the nearest neighbours (Å) after each atom.
Space group Cmmm (No. 65)
Asymmetric unit:
Pm 0.0000 0.0000 0.0000  2 Ge 3.14
Pm 0.0000 0.5000 0.2616  2 Ge 3.02, 2 Si 3.19
Pm 0.2500 0.2500 0.2877  2 Ge 2.89, 1 Pm 3.08, 2 Si 3.23
Si 0.1592 0.0000 0.5000  1 Si 2.50
Ge 0.0000 0.2864 0.0000  7 Pm 2.89-3.14


No. 5
The following is a PBE calculation of a geometry-optimized Pm5SiGe4 structure, from Alexandria.

Lattice parameters (Å, degrees): 9.5228 9.5228 6.0091 90.00 90.00 90.00
With the nearest neighbours (Å) after each atom.
Space group I4/m (No. 87)
Asymmetric unit:
Pm 0.0000 0.0000 0.0000  2 Si 3.00, 4 Ge 3.01
Pm 0.0995 0.7021 0.5000  1 Si 2.99, 5 Ge 3.00-3.02
Si 0.0000 0.0000 0.5000  6 Pm 2.99-3.00
Ge 0.0989 0.6996 0.0000  6 Pm 3.00-3.02


No. 6
The following is a PBE calculation of a geometry-optimized Pm7Si2Ge structure, from Alexandria.

Lattice parameters (Å, degrees): 4.9640 4.9640 23.1723 90.00 90.00 90.00
With the nearest neighbours (Å) after each atom.
Space group I4/mmm (No. 139)
Asymmetric unit:
Pm 0.0000 0.0000 0.0000  8 Pm 3.37, 4 Ge 3.51
Pm 0.0000 0.5000 0.0983  2 Si 3.04, 2 Ge 3.37, 2 Pm 3.37
Pm 0.0000 0.5000 0.2500  4 Si 3.04
Si 0.0000 0.0000 0.1739  8 Pm 3.04
Ge 0.0000 0.0000 0.5000  12 Pm 3.37-3.51


No. 7
The following is a PBE calculation of a geometry-optimized Pm3Si2Ge4 structure, from Alexandria.

Lattice parameters (Å, degrees): 14.8615 4.1541 6.7706 90.00 106.38 90.00
With the nearest neighbours (Å) after each atom.
Space group C2/m (No. 12)
Asymmetric unit:
Pm 0.0000 0.0000 0.0000  6 Ge 2.99-3.01, 4 Si 3.13
Pm 0.1401 0.0000 0.6001  7 Ge 3.05-3.24, 2 Si 3.23
Si 0.1534 0.5000 0.9717  4 Ge 2.60-2.72
Ge 0.0141 0.5000 0.3248  1 Ge 2.52, 1 Si 2.72
Ge 0.2082 0.0000 0.2047  3 Si 2.60-2.65


No. 8
The following is a PBE calculation of a geometry-optimized Pm3Si2Ge structure, from Alexandria.

Lattice parameters (Å, degrees): 8.0419 8.0419 17.1615 90.00 90.00 120.00
With the nearest neighbours (Å) after each atom.
Space group R-3c (No. 167, hexagonal axes)
Asymmetric unit:
Pm 0.0000 0.3343 0.2500  4 Si 3.02-3.06, 2 Ge 3.03
Si 0.0000 0.0000 0.1700  1 Si 2.74, 1 Ge 2.92, 6 Pm 3.02-3.06
Ge 0.0000 0.0000 0.0000  2 Si 2.92, 6 Pm 3.03

Values from the calculation:
Energy above the lowest structure with this stoichiometry: 0.018 eV per atom


no.,M_tot (μB per formula unit),formation energy without anion corrections (eV/atom)
1,0.00,-0.77
2,0.00,-0.69
3,0.00,-0.37
4,0.00,-0.33
5,0.00,-0.62
6,0.00,-0.34
7,0.00,-0.52
8,0.00,-0.65